Na4HgAs: relaxed, PBE-GGA.

The structure in POSCAR format:
```
Na4HgAs
1.0
4.7182 -6.8880 0.0000
4.7182 6.8880 0.0000
-3.3501 0.0000 5.4129
Na Hg As
8 2 2
direct
0.0474 0.6629 0.9087 Na
0.2810 0.3849 0.7587 Na
0.3371 0.9526 0.5913 Na
0.3849 0.2810 0.2587 Na
0.6151 0.7190 0.7413 Na
0.6629 0.0474 0.4087 Na
0.7190 0.6151 0.2413 Na
0.9526 0.3371 0.0913 Na
0.0096 0.9904 0.7500 Hg
0.9904 0.0096 0.2500 Hg
0.3628 0.6372 0.2500 As
0.6372 0.3628 0.7500 As
```

Offset from the most stable computed form   0.000 eV per atom
Energy relative to the elements   -0.280 eV/atom
Density   3469 kg/m3